Record 1
Entry from Alexandria via LeMat-Bulk: a geometry-optimized TbYCu structure (GGA-PBE).

POSCAR file:
```
TbYCu
1.0
6.455 -1.739 0.000
6.455 1.739 0.000
-1.894 0.000 6.725
Tb Y Cu
2 2 2
direct
0.140 0.140 0.071
0.860 0.860 0.929
0.137 0.137 0.568
0.863 0.863 0.432
0.499 0.499 0.245
0.501 0.501 0.755
```

The calculation puts the total magnetization at 0.0061 μB per atom. The formation energy comes out at -0.126 eV per atom. As for the space group: C2/m. The calculation puts the energy relative to the lowest polymorph listed for this composition at 0.021 eV per atom. For the final energy, the calculation gives -5.19 eV per atom.



Record 2
Entry from Alexandria via LeMat-Bulk: a geometry-optimized TbYCu3 structure (GGA-PBE).

POSCAR file:
```
TbYCu3
1.0
1.830 -12.732 0.000
1.830 12.732 0.000
0.000 0.000 4.287
Tb Y Cu
2 2 6
direct
0.071 0.929 0.750
0.929 0.071 0.250
0.204 0.796 0.250
0.796 0.204 0.750
0.329 0.671 0.250
0.383 0.617 0.750
0.477 0.523 0.750
0.523 0.477 0.250
0.617 0.383 0.250
0.671 0.329 0.750
```

The calculation puts the total magnetization at 0.0000 μB per atom. The formation energy comes out at -0.246 eV per atom. As for the space group: Cmcm. For the final energy, the calculation gives -4.92 eV per atom.



Record 3
Entry from Alexandria via LeMat-Bulk: a geometry-optimized TbYCu structure (GGA-PBE).

POSCAR file:
```
TbYCu
1.0
6.319 -1.856 0.000
6.319 1.856 0.000
-4.880 0.000 6.508
Tb Y Cu
2 2 2
direct
0.098 0.098 0.388
0.902 0.902 0.612
0.343 0.343 0.936
0.657 0.657 0.064
0.379 0.379 0.326
0.621 0.621 0.674
```

The calculation puts the total magnetization at 0.0001 μB per atom. The formation energy comes out at -0.147 eV per atom. As for the space group: C2/m. The calculation puts the energy relative to the lowest polymorph listed for this composition at 0.000 eV per atom. For the final energy, the calculation gives -5.21 eV per atom.



Record 4
Entry from Alexandria via LeMat-Bulk: a geometry-optimized TbY3Cu4 structure (GGA-PBE).

POSCAR file:
```
TbY3Cu4
1.0
3.470 0.000 0.000
0.000 4.936 0.000
0.000 0.000 9.869
Tb Y Cu
1 3 4
direct
0.000 0.000 0.000
0.000 0.000 0.500
0.000 0.500 0.250
0.000 0.500 0.750
0.500 0.000 0.250
0.500 0.000 0.750
0.500 0.500 0.000
0.500 0.500 0.500
```

The calculation puts the total magnetization at 0.0000 μB per atom. The formation energy comes out at -0.241 eV per atom. As for the space group: Pmmm. For the final energy, the calculation gives -5.29 eV per atom.



Record 5
Entry from Alexandria via LeMat-Bulk: a geometry-optimized TbY3Cu structure (GGA-PBE).

POSCAR file:
```
TbY3Cu
1.0
5.755 -4.228 0.000
5.755 4.228 0.000
-4.894 0.000 6.135
Tb Y Cu
2 6 2
direct
0.079 0.079 0.277
0.921 0.921 0.723
0.005 0.405 0.739
0.405 0.005 0.739
0.463 0.463 0.697
0.537 0.537 0.303
0.595 0.995 0.261
0.995 0.595 0.261
0.226 0.226 0.079
0.774 0.774 0.921
```

The calculation puts the total magnetization at 0.0004 μB per atom. The formation energy comes out at 0.030 eV per atom. As for the space group: C2/m. For the final energy, the calculation gives -5.59 eV per atom.



Record 6
Entry from Alexandria via LeMat-Bulk: a geometry-optimized Tb3YCu2 structure (GGA-PBE).

POSCAR file:
```
Tb3YCu2
1.0
4.925 0.000 0.000
0.000 8.750 0.000
0.000 0.000 6.914
Tb Y Cu
6 2 4
direct
0.000 0.077 0.000
0.000 0.334 0.370
0.000 0.666 0.870
0.000 0.923 0.500
0.500 0.163 0.657
0.500 0.837 0.157
0.500 0.425 0.027
0.500 0.575 0.527
0.000 0.350 0.773
0.000 0.650 0.273
0.500 0.152 0.254
0.500 0.848 0.754
```

The calculation puts the total magnetization at 0.0000 μB per atom. The formation energy comes out at -0.160 eV per atom. As for the space group: Pmc2_1. The calculation puts the energy relative to the lowest polymorph listed for this composition at 0.000 eV per atom. For the final energy, the calculation gives -4.92 eV per atom.



Record 7
Entry from Alexandria via LeMat-Bulk: a geometry-optimized Tb3YCu4 structure (GGA-PBE).

POSCAR file:
```
Tb3YCu4
1.0
3.470 0.000 0.000
0.000 4.936 0.000
0.000 0.000 9.871
Tb Y Cu
3 1 4
direct
0.000 0.000 0.000
0.000 0.500 0.250
0.000 0.500 0.750
0.000 0.000 0.500
0.500 0.000 0.250
0.500 0.000 0.750
0.500 0.500 0.000
0.500 0.500 0.500
```

The calculation puts the total magnetization at 0.0000 μB per atom. The formation energy comes out at -0.239 eV per atom. As for the space group: Pmmm. For the final energy, the calculation gives -4.83 eV per atom.



Record 8
Entry from Alexandria via LeMat-Bulk: a geometry-optimized TbY2Cu9 structure (GGA-PBE).

POSCAR file:
```
TbY2Cu9
1.0
2.586 1.493 8.321
-2.586 1.493 8.321
0.000 -2.986 8.321
Tb Y Cu
1 2 9
direct
0.000 0.000 0.000
0.141 0.141 0.141
0.859 0.859 0.859
0.082 0.581 0.581
0.332 0.332 0.332
0.419 0.419 0.918
0.419 0.918 0.419
0.500 0.500 0.500
0.581 0.082 0.581
0.581 0.581 0.082
0.668 0.668 0.668
0.918 0.419 0.419
```

The calculation puts the total magnetization at 0.0000 μB per atom. The formation energy comes out at -0.193 eV per atom. As for the space group: R-3m. For the final energy, the calculation gives -4.73 eV per atom.